First-principles (PBE) data for an optimized crystal structure of TbSc2Ni9, as listed in Alexandria via LeMat-Bulk.

Geometry as POSCAR:
```
TbSc2Ni9
1.0
-1.936 4.278 -1.335
-2.944 2.408 3.060
4.642 6.017 3.624
Tb Sc Ni
1 2 9
Direct
0.000 0.000 0.000 Tb
0.859 0.859 0.424 Sc
0.141 0.141 0.576 Sc
0.667 0.667 0.000 Ni
0.333 0.333 0.000 Ni
0.500 0.500 0.500 Ni
0.414 0.414 0.254 Ni
0.918 0.414 0.254 Ni
0.414 0.918 0.254 Ni
0.586 0.586 0.746 Ni
0.586 0.082 0.746 Ni
0.082 0.586 0.746 Ni
```

Values from the calculation:
Energy of formation: -5.38 eV/f.u.
Space-group type: No. 166
D(E_F): 16.3 states/eV per cell